A relaxed SrLuPd2 crystal, computed with GGA-PBE.

a = 7.1284 Å, b = 7.1284 Å, c = 7.1284 Å
α = 90.00°, β = 90.00°, γ = 90.00°
Fractional coordinates of all 16 atoms:
Sr  0.0000  0.0000  0.0000
Sr  0.0000  0.5000  0.5000
Sr  0.5000  0.0000  0.5000
Sr  0.5000  0.5000  0.0000
Lu  0.0000  0.0000  0.5000
Lu  0.0000  0.5000  0.0000
Lu  0.5000  0.0000  0.0000
Lu  0.5000  0.5000  0.5000
Pd  0.2500  0.2500  0.2500
Pd  0.2500  0.2500  0.7500
Pd  0.2500  0.7500  0.2500
Pd  0.2500  0.7500  0.7500
Pd  0.7500  0.2500  0.2500
Pd  0.7500  0.2500  0.7500
Pd  0.7500  0.7500  0.2500
Pd  0.7500  0.7500  0.7500

Total magnetic moment in μB/cell: 0.0
Energy in eV per atom: -4.79
N(E_F) in states/eV per atom: 0.7911
ΔE_f in eV/atom: -0.645
Crystal system: cubic

A relaxed Nd2Hg2Pd15 crystal, computed with GGA-PBE.

a = 7.0544 Å, b = 7.0544 Å, c = 7.0544 Å
α = 82.00°, β = 82.00°, γ = 82.00°
Fractional coordinates of all 19 atoms:
Nd  0.1521  0.1521  0.1521
Nd  0.8479  0.8479  0.8479
Hg  0.3981  0.3981  0.3981
Hg  0.6019  0.6019  0.6019
Pd  0.0000  0.5000  0.5000
Pd  0.1521  0.1521  0.6615
Pd  0.1521  0.6615  0.1521
Pd  0.1896  0.5000  0.8104
Pd  0.1896  0.8104  0.5000
Pd  0.3385  0.8479  0.8479
Pd  0.5000  0.0000  0.5000
Pd  0.5000  0.1896  0.8104
Pd  0.5000  0.5000  0.0000
Pd  0.5000  0.8104  0.1896
Pd  0.6615  0.1521  0.1521
Pd  0.8104  0.1896  0.5000
Pd  0.8104  0.5000  0.1896
Pd  0.8479  0.3385  0.8479
Pd  0.8479  0.8479  0.3385

Total magnetic moment in μB/cell: 0.0
Energy in eV per atom: -4.97
N(E_F) in states/eV per atom: 1.0410
ΔE_f in eV/atom: -0.338
Crystal system: trigonal

A relaxed Pm5Pr6Ho crystal, computed with GGA-PBE.

a = 9.7122 Å, b = 9.7122 Å, c = 9.7122 Å
α = 148.95°, β = 115.46°, γ = 73.34°
Fractional coordinates of all 12 atoms:
Pm  0.0000  0.0000  0.0000
Pm  0.1667  0.6667  0.5000
Pm  0.3340  0.3340  0.0000
Pm  0.6660  0.6660  0.0000
Pm  0.8333  0.3333  0.5000
Pr  0.0849  0.8338  0.2511
Pr  0.2515  0.5000  0.7515
Pr  0.4173  0.1662  0.2511
Pr  0.5827  0.8338  0.7489
Pr  0.7485  0.5000  0.2485
Pr  0.9151  0.1662  0.7489
Ho  0.5000  0.0000  0.5000

Total magnetic moment in μB/cell: 0.0
Energy in eV per atom: -4.74
N(E_F) in states/eV per atom: 1.5622
ΔE_f in eV/atom: 0.014
Crystal system: orthorhombic

Q: Number 3 is which compound?
A: Pm5Pr6Ho